Record 1
An optimized crystal structure of TlCd2As2, computed with PBEsol.

Unit cell a=4.4502 b=4.4502 c=12.0995 alpha=90.00 beta=90.00 gamma=90.00
With the nearest neighbours (Å) after each atom.
Space group I4/mmm (No. 139)
Inequivalent atoms, fractional coordinates:
Tl  0.0000  0.0000  0.0000 (multiplicity 2)  8 As 3.43, 8 Cd 3.76
Cd  0.0000  0.5000  0.2500 (multiplicity 4)  4 As 2.77
As  0.0000  0.0000  0.3864 (multiplicity 4)  1 As 2.75, 4 Cd 2.77

Computed properties:
* magnetization: 0.0 μB per cell
* formation energy from the elements: 22 meV/atom


Record 2
An optimized crystal structure of Cd2PbAu, computed with PBEsol.

Unit cell a=3.1442 b=4.6120 c=12.9353 alpha=90.00 beta=90.00 gamma=90.00
With the nearest neighbours (Å) after each atom.
Space group Imm2 (No. 44)
Inequivalent atoms, fractional coordinates:
Cd  0.0000  0.0000  0.0000 (multiplicity 2)  4 Au 2.80
Cd  0.0000  0.5000  0.1726 (multiplicity 2)  2 Au 2.86, 2 Cd 3.14, 4 Pb 3.17
Pb  0.0000  0.5000  0.7880 (multiplicity 2)  2 Au 3.03, 2 Pb 3.14, 4 Cd 3.17
Au  0.0000  0.0000  0.4882 (multiplicity 2)  6 Cd 2.80-2.86, 2 Pb 3.03

Computed properties:
* magnetization: 0.0 μB per cell
* formation energy from the elements: -27 meV/atom